[1]
VASP calculation (PBE) on an optimized crystal structure of MgMnTcNi.

Cell and atoms, written as POSCAR:
```
MgMnTcNi
1.0
4.231 0.000 0.000
2.115 3.664 0.000
2.115 1.221 3.455
Ni Mg Mn Tc
1 1 1 1
Cartesian
0.000 0.000 0.000
2.115 1.221 0.864
6.346 3.664 2.591
4.231 2.443 1.727
```

Computed properties:
Energy, eV/cell: -26.61
Mass density, g cm⁻³: 7.316
ΔH_f (0 K), meV/atom: 75

=====

[2]
VASP calculation (PBE) on an optimized crystal structure of LiBBr6.

Cell and atoms, written as POSCAR:
```
LiBBr6
1.0
-2.092 -4.329 -4.894
6.437 -4.908 -0.623
-0.748 -3.845 3.281
Li B Br
1 1 6
Cartesian
1.798 -6.541 -1.119
0.000 0.000 0.000
3.071 -5.545 0.939
3.480 -11.401 -1.656
0.184 -4.837 -2.108
0.117 -1.681 -0.581
0.525 -7.537 -3.176
3.413 -8.245 -0.129
```

Computed properties:
Energy, eV/cell: -21.36
Mass density, g cm⁻³: 3.090

=====

[3]
VASP calculation (PBE) on an optimized crystal structure of TbZn12Co4.

Cell and atoms, written as POSCAR:
```
TbZn12Co4
1.0
-0.046 -6.526 -3.186
3.057 -0.533 6.567
-6.818 2.404 0.692
Tb Zn Co
1 12 4
Cartesian
0.000 0.000 0.000
-0.202 -5.193 -0.262
0.414 -2.128 2.378
-3.990 -3.874 -1.069
-5.151 -0.348 0.650
0.183 -0.781 5.141
-4.221 -2.527 1.694
-1.870 -2.601 -0.299
-1.937 -2.054 4.371
1.343 -4.308 3.422
-1.363 -4.615 1.979
-2.444 -0.040 2.093
-3.606 0.537 4.334
1.528 -0.267 3.283
-0.023 -3.263 -1.593
-1.904 -2.328 2.036
-3.409 1.202 0.346
```

Computed properties:
Energy, eV/cell: -43.44
Mass density, g cm⁻³: 6.642
ΔH_f (0 K), meV/atom: 289

=====

[4]
VASP calculation (PBE) on an optimized crystal structure of Be3HgO.

Cell and atoms, written as POSCAR:
```
Be3HgO
1.0
3.729 0.000 0.000
0.000 3.729 0.000
0.000 0.000 3.729
Be Hg O
3 1 1
Cartesian
0.000 1.865 0.000
0.000 0.000 1.865
1.865 0.000 0.000
1.865 1.865 1.865
0.000 0.000 0.000
```

Computed properties:
Energy, eV/cell: -17.70
Mass density, g cm⁻³: 7.801

=====

[5]
VASP calculation (PBE) on an optimized crystal structure of KBeCd.

Cell and atoms, written as POSCAR:
```
KBeCd
1.0
-2.696 1.128 0.080
-0.908 -2.406 3.326
2.105 4.425 3.776
Be K Cd
1 1 1
Cartesian
-0.555 0.461 2.839
-0.805 3.219 4.766
-1.450 2.228 1.216
```

Computed properties:
Energy, eV/cell: -4.46
Polymorph energy (0 for the lowest one), eV per atom: 0.1677
Mass density, g cm⁻³: 3.507
ΔH_f (0 K), meV/atom: 426

=====

[6]
VASP calculation (PBE) on an optimized crystal structure of Tb5PmSmEr2.

Cell and atoms, written as POSCAR:
```
Tb5PmSmEr2
1.0
-1.091 -1.427 -5.323
0.585 -8.904 5.231
-10.387 0.491 1.997
Tb Pm Sm Er
10 2 2 4
Cartesian
-0.222 -7.506 2.058
-8.944 -4.518 0.079
-7.621 -8.832 3.929
-7.328 -5.397 2.948
-5.964 -9.740 0.869
-5.983 -2.556 -1.053
-3.201 -5.263 2.067
-3.009 -1.021 -2.074
-2.688 -4.485 -1.211
-0.262 -0.321 0.140
-10.416 -1.867 -0.330
-4.651 -7.776 3.038
-5.837 -6.223 -0.100
-0.106 -3.852 1.054
-9.035 -7.729 0.959
-7.633 -1.762 2.036
-3.318 -2.042 1.227
-2.963 -8.093 -0.188
```

Computed properties:
Energy, eV/cell: -80.68
Mass density, g cm⁻³: 7.990
ΔH_f (0 K), meV/atom: 156

=====

[7]
VASP calculation (PBE) on an optimized crystal structure of TmCoHg.

Cell and atoms, written as POSCAR:
```
TmCoHg
1.0
3.640 0.000 0.000
1.820 3.152 0.000
1.820 1.051 11.575
Co Hg Tm
2 2 2
Cartesian
1.820 1.051 0.370
5.459 3.152 11.205
1.820 1.051 4.654
5.459 3.152 6.921
3.640 2.101 9.230
3.640 2.101 2.345
```

Computed properties:
Energy, eV/cell: -24.00
Mass density, g cm⁻³: 10.715
ΔH_f (0 K), meV/atom: -41

=====

[8]
VASP calculation (PBE) on an optimized crystal structure of K2TaP.

Cell and atoms, written as POSCAR:
```
K2TaP
1.0
6.537 -0.008 0.000
4.233 4.981 0.000
-5.385 -2.487 2.747
K P Ta
2 1 1
Cartesian
0.000 0.000 0.000
5.385 2.487 0.000
2.117 2.490 1.374
3.268 -0.004 1.374
```

Computed properties:
Energy, eV/cell: -16.28
Mass density, g cm⁻³: 5.381
ΔH_f (0 K), meV/atom: 796

=====

[9]
VASP calculation (PBE) on an optimized crystal structure of AcSiNi2.

Cell and atoms, written as POSCAR:
```
AcSiNi2
1.0
4.071 0.000 0.000
-2.036 3.526 0.000
0.000 0.000 10.467
Ac Si Ni
2 2 4
Cartesian
0.000 2.351 2.617
2.036 1.175 7.850
0.000 0.000 0.000
0.000 0.000 5.233
2.036 1.175 0.425
0.000 2.351 5.658
2.036 1.175 4.808
0.000 2.351 10.042
```

Computed properties:
Energy, eV/cell: -46.95
Mass density, g cm⁻³: 8.233

=====

[10]
VASP calculation (PBE) on an optimized crystal structure of KTa2Co.

Cell and atoms, written as POSCAR:
```
KTa2Co
1.0
-3.450 -0.274 -1.349
0.853 -2.029 -1.770
-1.286 -7.409 4.793
Co K Ta
1 1 2
Cartesian
-1.833 -2.497 0.081
-2.049 -7.216 1.593
0.661 -2.680 -1.146
-0.024 -4.069 0.888
```

Computed properties:
Energy, eV/cell: -29.10
Polymorph energy (0 for the lowest one), eV per atom: 0.1826
Mass density, g cm⁻³: 8.361
ΔH_f (0 K), meV/atom: 703

=====

[11]
VASP calculation (PBE) on an optimized crystal structure of LiAc2Co2.

Cell and atoms, written as POSCAR:
```
LiAc2Co2
1.0
-2.195 0.803 -3.519
-0.174 -4.015 -0.808
-6.490 1.485 4.387
Li Ac Co
1 2 2
Cartesian
0.000 0.000 0.000
-3.027 -1.753 -1.047
-5.831 0.026 1.108
-2.885 -0.229 1.747
-3.778 -2.301 1.832
```

Computed properties:
Energy, eV/cell: -24.30
Mass density, g cm⁻³: 7.202
ΔH_f (0 K), meV/atom: 8

=====

[12]
VASP calculation (PBE) on an optimized crystal structure of Er2Ag4S5.

Cell and atoms, written as POSCAR:
```
Er2Ag4S5
1.0
4.036 0.000 0.000
2.018 3.496 0.000
2.018 1.165 17.403
Er Ag S
2 4 5
Cartesian
2.018 1.165 10.277
6.055 3.496 7.126
6.055 3.496 16.214
4.036 2.330 4.263
4.036 2.330 13.140
2.018 1.165 1.189
6.055 3.496 11.700
4.036 2.330 1.832
4.036 2.330 8.702
4.036 2.330 15.571
2.018 1.165 5.703
```

Computed properties:
Energy, eV/cell: -49.57
Mass density, g cm⁻³: 6.264